K2LaCu | Alexandria via LeMat-Bulk | PBE-GGA | optimized geometry; ΔH_f (0 K) = 0.621 eV/atom; space-group type = No. 119
1.0
5.7764 -0.7809 0.0000
0.7615 5.7790 0.0000
-3.2690 -2.4990 4.1286
Cu K La
1 2 1
Direct
0.7500 0.2500 0.5000
0.0000 0.0000 0.0000
0.2500 0.7500 0.5000
0.5000 0.5000 0.0000

SnBiAs3 | Alexandria via LeMat-Bulk | PBE-GGA | optimized geometry; ΔH_f (0 K) = 0.765 eV/atom; space-group type = No. 221
1.0
-1.6178 -3.4203 -3.6029
-0.5763 -3.6343 3.7089
-4.9343 1.5458 0.7481
As Bi Sn
3 1 1
Direct
0.0000 0.5000 0.0000
0.0000 0.0000 0.5000
0.5000 0.0000 0.0000
0.5000 0.5000 0.5000
0.0000 0.0000 0.0000

IrOsAu2 | Alexandria via LeMat-Bulk | PBE-GGA | optimized geometry; ΔH_f (0 K) = 0.812 eV/atom; space-group type = No. 225
1.0
0.0000 3.1827 3.1827
3.1827 0.0000 3.1827
3.1827 3.1827 0.0000
Os Ir Au
1 1 2
Direct
0.0000 0.0000 0.0000
0.5000 0.5000 0.5000
0.2500 0.2500 0.2500
0.7500 0.7500 0.7500

| no. | total magnetic moment (μB/atom) | energy above the lowest structure with this stoichiometry (eV/atom) |
| --- | --- | --- |
| 1 | 0.21 | 0.459 |
| 2 | 0.00 | 0.000 |
| 3 | 0.00 | 0.576 |